Computed, not measured: an optimized crystal structure of TlIn4Ga2 at the PBE-GGA level of DFT.

```
TlIn4Ga2
1.0
5.069 -0.019 2.686
2.105 5.590 2.111
-0.151 0.057 6.334
Tl Ga In
1 2 4
Direct
0.000 0.000 0.000 Tl
0.777 0.488 0.487 Ga
0.223 0.512 0.513 Ga
0.686 0.602 0.020 In
0.314 0.398 0.980 In
0.686 0.020 0.602 In
0.314 0.980 0.398 In
```

ΔE_f = 0.0456 eV/atom
V = 25.96 Å³/atom
energy relative to the lowest polymorph listed for this composition = 3 meV per atom
density = 7.34 g/cm3